# InFeRh2, optimized geometry, DFT GGA-PBE
# Energy of formation ... 186 meV/atom
data_InFeRh2
_chemical_formula_sum 'In3 Fe3 Rh6'
_symmetry_space_group_name_H-M 'R 3 m'
_symmetry_Int_Tables_number 160
_symmetry_space_group_name_Hall 'R 3 -2"'
_cell_length_a 2.8597
_cell_length_b 2.8597
_cell_length_c 26.0675
_cell_angle_alpha 90.00
_cell_angle_beta 90.00
_cell_angle_gamma 120.00
loop_
_atom_site_label
_atom_site_type_symbol
_atom_site_fract_x
_atom_site_fract_y
_atom_site_fract_z
In1 In 0.0000 0.0000 0.0000
Fe1 Fe 0.0000 0.0000 0.2463
Rh1 Rh 0.0000 0.0000 0.5044
Rh2 Rh 0.0000 0.0000 0.7533